A plane-wave DFT calculation with PBE was carried out for SiTc2Se after structural relaxation.

The energy above the most stable polymorph in this dataset is 0.588 eV per atom. The calculation puts the formation energy without anion corrections at 472.8 meV/atom. The calculation puts the density of states at the Fermi level at 0.2128 states/eV/atom.

```
SiTc2Se
1.0
-2.741 2.741 5.432
2.741 -2.741 5.432
2.741 2.741 -5.432
Si Tc Se
2 4 2
direct
0.000 0.000 0.000
0.750 0.250 0.500
0.120 0.625 0.995
0.375 0.370 0.495
0.630 0.125 0.005
0.875 0.880 0.505
0.250 0.750 0.500
0.500 0.500 0.000
```